(1)
Density functional theory data (GGA-PBE) for BaNaPS2 after structural relaxation.

Properties
Calculated volume (Å³ per cell): 129.2
Energy above the lowest structure with this stoichiometry (meV per atom): 0.0

Unit cell a=5.133 b=5.133 c=4.902 alpha=90.00 beta=90.00 gamma=90.00
Sites, in units of the cell vectors:
P 0.000 0.000 0.500
Na 0.000 0.000 0.000
S 0.000 0.500 0.000
Ba 0.500 0.500 0.500
S 0.500 0.000 0.000

=====

(2)
Density functional theory data (GGA-PBE) for Ba3NaP2S8 after structural relaxation.

Properties
Calculated volume (Å³ per cell): 366.6

Unit cell a=6.901 b=6.901 c=8.887 alpha=90.00 beta=90.00 gamma=120.00
Sites, in units of the cell vectors:
P 0.333 0.667 0.209
Ba 0.333 0.667 0.636
Ba 0.000 0.000 0.000
S 0.333 0.667 0.981
S 0.830 0.170 0.701
S 0.660 0.830 0.299
S 0.667 0.333 0.019
S 0.340 0.170 0.701
P 0.667 0.333 0.791
S 0.830 0.660 0.701
Ba 0.667 0.333 0.364
S 0.170 0.340 0.299
S 0.170 0.830 0.299
Na 0.000 0.000 0.500

=====

(3)
Density functional theory data (GGA-PBE) for BaNaPS2 after structural relaxation.

Properties
Calculated volume (Å³ per cell): 222.5
Energy above the lowest structure with this stoichiometry (meV per atom): 376.1

Unit cell a=5.964 b=5.964 c=6.254 alpha=90.00 beta=90.00 gamma=90.00
Last column: magnetic moment on the atom in μB.
Sites, in units of the cell vectors:
P 0.000 0.000 0.500  0.92
Ba 0.000 0.000 0.000  0.05
S 0.500 0.000 0.000  0.52
S 0.000 0.500 0.000  0.52
Na 0.500 0.500 0.500  0.00

=====

(4)
Density functional theory data (GGA-PBE) for BaNaPS4 after structural relaxation.

Properties
Calculated volume (Å³ per cell): 360.6

Unit cell a=6.711 b=6.784 c=8.347 alpha=90.00 beta=108.40 gamma=90.00
Sites, in units of the cell vectors:
S 0.016 0.509 0.255
Na 0.230 0.250 0.552
S 0.392 0.750 0.145
S 0.984 0.009 0.745
S 0.016 0.991 0.255
S 0.984 0.491 0.745
Ba 0.277 0.250 0.073
P 0.214 0.750 0.309
S 0.608 0.250 0.855
S 0.608 0.250 0.446
Na 0.770 0.750 0.448
S 0.392 0.750 0.554
P 0.786 0.250 0.691
Ba 0.723 0.750 0.927

=====

(5)
Density functional theory data (GGA-PBE) for BaNa2PS4 after structural relaxation.

Properties
Calculated volume (Å³ per cell): 203.3

Unit cell a=7.136 b=6.435 c=6.435 alpha=76.71 beta=56.31 gamma=56.31
Sites, in units of the cell vectors:
Na 0.000 0.250 0.750
S 0.500 0.525 0.835
S 0.860 0.475 0.165
Na 0.000 0.749 0.251
S 0.140 0.835 0.525
Ba 0.500 0.000 0.000
P 0.500 0.500 0.500
S 0.500 0.165 0.475

=====

(6)
Density functional theory data (GGA-PBE) for BaNa2PSe4 after structural relaxation.

Properties
Calculated volume (Å³ per cell): 233.4

Unit cell a=7.542 b=6.729 c=6.729 alpha=75.16 beta=55.92 gamma=55.92
Sites, in units of the cell vectors:
P 0.500 0.500 0.500
Se 0.868 0.478 0.154
Se 0.500 0.154 0.478
Na 0.000 0.250 0.750
Se 0.500 0.522 0.846
Na 0.000 0.750 0.250
Se 0.132 0.846 0.522
Ba 0.500 0.000 0.000

=====

Number 1: E_form (uncorrected) -175 meV per atom, DOS(E_F) 5.1 states/eV/cell, total magnetic moment 0.00 μB/cell. Number 2: E_form (uncorrected) -1134 meV per atom, DOS(E_F) 2.9 states/eV/cell, total magnetic moment 0.00 μB/cell. Number 3: E_form (uncorrected) 201 meV per atom, DOS(E_F) 6.5 states/eV/cell, total magnetic moment 4.03 μB/cell. Number 4: E_form (uncorrected) -1088 meV per atom, DOS(E_F) 0.0 states/eV/cell, total magnetic moment 0.00 μB/cell. Number 5: E_form (uncorrected) -967 meV per atom, DOS(E_F) 4.6 states/eV/cell, total magnetic moment 0.00 μB/cell. Number 6: E_form (uncorrected) -907 meV per atom, DOS(E_F) 4.3 states/eV/cell, total magnetic moment 0.00 μB/cell.